(1)
KSn2Pt2 | PBE-GGA | optimized geometry

density of states at the Fermi level = 5.1 states/eV per cell
energy above the most stable polymorph in this dataset = 0.1792 eV per atom
space group = No. 127
calculated volume = 217.16 Å³/cell
formation energy from the elements = -286.9 meV/atom
mass density = 10.2 g cm⁻³

Cell lengths 8.5906, 8.5906, 2.9426 Å; angles 90.00, 90.00, 90.00 degrees
Positions (direct):
K: 0.0000 0.0000 0.0000
K: 0.5000 0.5000 0.0000
Sn: 0.1363 0.3637 0.0000
Sn: 0.3637 0.8637 0.0000
Sn: 0.6363 0.1363 0.0000
Sn: 0.8637 0.6363 0.0000
Pt: 0.1570 0.6570 0.5000
Pt: 0.3430 0.1570 0.5000
Pt: 0.6570 0.8430 0.5000
Pt: 0.8430 0.3430 0.5000

---

(2)
K2SnPt2 | PBE-GGA | optimized geometry

density of states at the Fermi level = 2.9 states/eV per cell
energy above the most stable polymorph in this dataset = 0.0000 eV per atom
space group = No. 15
calculated volume = 275.33 Å³/cell
formation energy from the elements = -348.7 meV/atom
mass density = 7.1 g cm⁻³

Cell lengths 6.0945, 6.0945, 8.0403 Å; angles 97.61, 97.61, 69.09 degrees
Positions (direct):
K: 0.0219 0.2603 0.1303
K: 0.2603 0.0219 0.6303
K: 0.7397 0.9781 0.3697
K: 0.9781 0.7397 0.8697
Sn: 0.4454 0.5546 0.2500
Sn: 0.5546 0.4454 0.7500
Pt: 0.2094 0.5092 0.4931
Pt: 0.4908 0.7906 0.0069
Pt: 0.5092 0.2094 0.9931
Pt: 0.7906 0.4908 0.5069

---

(3)
KSn4Pt2 | PBE-GGA | optimized geometry

density of states at the Fermi level = 6.1 states/eV per cell
energy above the most stable polymorph in this dataset = 0.0000 eV per atom
space group = No. 62
calculated volume = 649.92 Å³/cell
formation energy from the elements = -454.1 meV/atom
mass density = 9.2 g cm⁻³

Cell lengths 19.0154, 4.6401, 7.3659 Å; angles 90.00, 90.00, 90.00 degrees
Positions (direct):
K: 0.1425 0.2500 0.0104
K: 0.3575 0.7500 0.5104
K: 0.6425 0.2500 0.4896
K: 0.8575 0.7500 0.9896
Sn: 0.0335 0.7500 0.8674
Sn: 0.0667 0.2500 0.4708
Sn: 0.1837 0.7500 0.3077
Sn: 0.1927 0.7500 0.7272
Sn: 0.3073 0.2500 0.2272
Sn: 0.3163 0.2500 0.8077
Sn: 0.4333 0.7500 0.9708
Sn: 0.4665 0.2500 0.3674
Sn: 0.5335 0.7500 0.6326
Sn: 0.5667 0.2500 0.0292
Sn: 0.6837 0.7500 0.1923
Sn: 0.6927 0.7500 0.7728
Sn: 0.8073 0.2500 0.2728
Sn: 0.8163 0.2500 0.6923
Sn: 0.9333 0.7500 0.5292
Sn: 0.9665 0.2500 0.1326
Pt: 0.0333 0.7500 0.2573
Pt: 0.2113 0.2500 0.5206
Pt: 0.2887 0.7500 0.0206
Pt: 0.4667 0.2500 0.7573
Pt: 0.5333 0.7500 0.2427
Pt: 0.7113 0.2500 0.9794
Pt: 0.7887 0.7500 0.4794
Pt: 0.9667 0.2500 0.7427

---

(4)
K2Sn5Pt3 | PBE-GGA | optimized geometry

density of states at the Fermi level = 9.7 states/eV per cell
energy above the most stable polymorph in this dataset = 0.0000 eV per atom
space group = No. 72
calculated volume = 504.67 Å³/cell
formation energy from the elements = -431.0 meV/atom
mass density = 8.3 g cm⁻³

Cell lengths 9.3285, 9.3285, 9.3285 Å; angles 106.42, 88.97, 137.34 degrees
Positions (direct):
K: 0.1411 0.2372 0.3783
K: 0.3589 0.7372 0.0962
K: 0.6411 0.2628 0.9038
K: 0.8589 0.7628 0.6217
Sn: 0.0148 0.7500 0.2648
Sn: 0.0928 0.6559 0.7487
Sn: 0.2500 0.2500 0.0000
Sn: 0.4072 0.1559 0.5630
Sn: 0.4852 0.7500 0.7352
Sn: 0.5148 0.2500 0.2648
Sn: 0.5928 0.8441 0.4370
Sn: 0.7500 0.7500 0.0000
Sn: 0.9072 0.3441 0.2513
Sn: 0.9852 0.2500 0.7352
Pt: 0.1317 0.8921 0.0238
Pt: 0.2500 0.7500 0.5000
Pt: 0.3683 0.3921 0.7605
Pt: 0.6317 0.6079 0.2395
Pt: 0.7500 0.2500 0.5000
Pt: 0.8683 0.1079 0.9762